Entry 1:
Computed, not measured: a relaxed structure of SmScAgAu at the PBE level of DFT.

```
SmScAgAu
1.0
0.000 3.565 3.565
3.565 0.000 3.565
3.565 3.565 0.000
Sm Sc Ag Au
1 1 1 1
direct
0.000 0.000 0.000
0.500 0.500 0.500
0.750 0.750 0.750
0.250 0.250 0.250
```

Calculated values
space-group type = No. 216
ΔH_f (0 K) = -504 meV/atom

***

Entry 2:
Computed, not measured: a relaxed structure of YTiCu at the PBE level of DFT.

```
YTiCu
1.0
4.482 0.000 0.000
-2.241 3.882 0.000
0.000 0.000 7.002
Y Ti Cu
2 2 2
direct
0.000 0.000 0.000
0.000 0.000 0.500
0.333 0.667 0.250
0.667 0.333 0.750
0.333 0.667 0.750
0.667 0.333 0.250
```

Calculated values
space-group type = No. 194
ΔH_f (0 K) = 124 meV/atom

***

Entry 3:
Computed, not measured: a relaxed structure of CaAg2Pb2 at the PBE level of DFT.

```
CaAg2Pb2
1.0
8.183 0.000 0.000
0.000 8.183 0.000
0.000 0.000 3.882
Ca Ag Pb
2 4 4
direct
0.000 0.000 0.000
0.500 0.500 0.000
0.123 0.377 0.000
0.377 0.877 0.000
0.623 0.123 0.000
0.877 0.623 0.000
0.177 0.677 0.500
0.323 0.177 0.500
0.677 0.823 0.500
0.823 0.323 0.500
```

Calculated values
space-group type = No. 127
ΔH_f (0 K) = -128 meV/atom

***

Entry 4:
Computed, not measured: a relaxed structure of YSbS2 at the PBE level of DFT.

```
YSbS2
1.0
-3.739 3.739 3.457
3.739 -3.739 3.457
3.739 3.739 -3.457
Y Sb S
2 2 4
direct
0.000 0.000 0.000
0.750 0.250 0.500
0.250 0.750 0.500
0.500 0.500 0.000
0.113 0.625 0.988
0.375 0.363 0.488
0.637 0.125 0.012
0.875 0.887 0.512
```

Calculated values
space-group type = No. 122
formation energy (no corrections) = -0.869 eV/atom

***

Entry 5:
Computed, not measured: a relaxed structure of HoAgHgPt at the PBE level of DFT.

```
HoAgHgPt
1.0
0.000 3.436 3.436
3.436 0.000 3.436
3.436 3.436 0.000
Ho Ag Hg Pt
1 1 1 1
direct
0.000 0.000 0.000
0.750 0.750 0.750
0.500 0.500 0.500
0.250 0.250 0.250
```

Calculated values
space-group type = No. 216
ΔH_f (0 K) = -522 meV/atom

***

Entry 6:
Computed, not measured: a relaxed structure of MgIn3Co at the PBE level of DFT.

```
MgIn3Co
1.0
4.976 0.000 0.000
0.000 4.976 0.000
0.000 0.000 4.976
Mg In Co
1 3 1
direct
0.000 0.000 0.000
0.000 0.500 0.500
0.500 0.000 0.500
0.500 0.500 0.000
0.500 0.500 0.500
```

Calculated values
space-group type = No. 221
ΔH_f (0 K) = 97 meV/atom

***

Entry 7:
Computed, not measured: a relaxed structure of Sr2FeHAu at the PBE level of DFT.

```
Sr2FeHAu
1.0
5.374 0.000 0.000
0.000 5.374 0.000
0.000 0.000 3.751
Sr Fe H Au
2 1 1 1
direct
0.000 0.500 0.000
0.500 0.000 0.000
0.000 0.000 0.500
0.000 0.000 0.000
0.500 0.500 0.500
```

Calculated values
space-group type = No. 123

***

Entry 8:
Computed, not measured: a relaxed structure of Tb2Y3Th at the PBE level of DFT.

```
Tb2Y3Th
1.0
-2.534 5.036 7.586
2.534 -5.036 7.586
2.534 5.036 -7.586
Tb Y Th
4 6 2
direct
0.083 0.333 0.750
0.251 0.001 0.250
0.749 0.999 0.750
0.917 0.667 0.250
0.000 0.500 0.500
0.173 0.168 0.005
0.337 0.832 0.505
0.500 0.500 0.000
0.663 0.168 0.495
0.827 0.832 0.995
0.417 0.667 0.750
0.583 0.333 0.250
```

Calculated values
space-group type = No. 74
ΔH_f (0 K) = 30 meV/atom

***

| no. | total DFT energy (no corrections) (Ry per atom) |
| --- | --- |
| 1 | -0.3527 |
| 2 | -0.4430 |
| 3 | -0.2317 |
| 4 | -0.4101 |
| 5 | -0.2914 |
| 6 | -0.2415 |
| 7 | -0.2783 |
| 8 | -0.4397 |